1.
First-principles (GGA-PBE) data for a relaxed structure of BaSrIn2Br6, as listed in the Alexandria database.

abc: 8.264 8.266 8.574
angles: 61.21 61.22 60.02
Space group P1 (No. 1)
Unique sites:
Ba1 0.000 0.000 0.000 (multiplicity 1)
Sr1 0.503 0.503 0.492 (multiplicity 1)
In1 0.205 0.205 0.385 (multiplicity 1)
In2 0.707 0.706 0.880 (multiplicity 1)
Br1 0.140 0.378 0.699 (multiplicity 1)
Br2 0.305 0.870 0.206 (multiplicity 1)
Br3 0.378 0.783 0.699 (multiplicity 1)
Br4 0.619 0.304 0.207 (multiplicity 1)
Br5 0.783 0.139 0.699 (multiplicity 1)
Br6 0.871 0.619 0.207 (multiplicity 1)

Calculated values
For the formation energy from raw total energies, the calculation gives -148 kJ per mole of atoms.


2.
First-principles (GGA-PBE) data for a relaxed structure of Re4TcB2, as listed in the Alexandria database.

abc: 3.830 12.463 3.841
angles: 90.00 90.00 90.00
Space group Cmmm (No. 65)
Unique sites:
Re1 0.000 0.170 0.000 (multiplicity 4)
Re2 0.000 0.325 0.500 (multiplicity 4)
Tc1 0.000 0.000 0.500 (multiplicity 2)
B1 0.000 0.428 0.000 (multiplicity 4)

Calculated values
The energy above the most stable polymorph in this dataset comes out at 22.38 kJ per mole of atoms. The formation energy is 29.8 kJ/mol of atoms.


3.
First-principles (GGA-PBE) data for a relaxed structure of La5Pb3, as listed in the Alexandria database.

abc: 12.950 12.950 6.453
angles: 90.00 90.00 90.00
Space group I4/mcm (No. 140)
Unique sites:
La1 0.000 0.500 0.250 (multiplicity 4)
La2 0.084 0.218 0.000 (multiplicity 16)
Pb1 0.000 0.000 0.250 (multiplicity 4)
Pb2 0.161 0.339 0.500 (multiplicity 8)

Calculated values
The energy above the most stable polymorph in this dataset comes out at 0.38 kJ per mole of atoms. The formation energy is -53.7 kJ/mol of atoms.


4.
First-principles (GGA-PBE) data for a relaxed structure of Tb3SiB2Rh9, as listed in the Alexandria database.

abc: 6.0684 6.0684 7.4523
angles: 90.00 90.00 120.00
Space group P-3m1 (No. 164)
Unique sites:
Tb1 0.0000 0.0000 0.0000 (multiplicity 1)
Tb2 0.3333 0.6667 0.6657 (multiplicity 2)
Si1 0.0000 0.0000 0.5000 (multiplicity 1)
B1 0.3333 0.6667 0.1506 (multiplicity 2)
Rh1 0.0000 0.5000 0.0000 (multiplicity 3)
Rh2 0.1751 0.3502 0.3206 (multiplicity 6)

Calculated values
For the formation energy from raw total energies, the calculation gives -75 kJ per mole of atoms.


5.
First-principles (GGA-PBE) data for a relaxed structure of Sm2ZnRu2, as listed in the Alexandria database.

abc: 9.783 5.531 8.083
angles: 90.00 105.54 90.00
Space group C2/c (No. 15)
Unique sites:
Sm1 0.146 0.152 0.147 (multiplicity 8)
Zn1 0.000 0.366 0.750 (multiplicity 4)
Ru1 0.138 0.352 0.510 (multiplicity 8)

Calculated values
The formation energy is -25.3 kJ/mol of atoms.


6.
First-principles (GGA-PBE) data for a relaxed structure of Mg2TcAg, as listed in the Alexandria database.

abc: 4.180 4.180 7.804
angles: 90.00 90.00 90.00
Space group I4/mmm (No. 139)
Unique sites:
Mg1 0.000 0.500 0.250 (multiplicity 4)
Tc1 0.000 0.000 0.000 (multiplicity 2)
Ag1 0.000 0.000 0.500 (multiplicity 2)

Calculated values
The energy above the most stable polymorph in this dataset comes out at 14.48 kJ per mole of atoms. The formation energy is 22.8 kJ/mol of atoms.


7.
First-principles (GGA-PBE) data for a relaxed structure of SmAlCo, as listed in the Alexandria database.

abc: 3.145 3.145 11.142
angles: 90.00 90.00 90.00
Space group I4mm (No. 107)
Unique sites:
Sm1 0.000 0.000 0.000 (multiplicity 2)
Al1 0.000 0.000 0.279 (multiplicity 2)
Co1 0.000 0.000 0.677 (multiplicity 2)

Calculated values
The formation energy is -20.9 kJ/mol of atoms.


8.
First-principles (GGA-PBE) data for a relaxed structure of CdTe2As, as listed in the Alexandria database.

abc: 3.899 3.993 14.313
angles: 90.00 90.00 90.00
Space group Imm2 (No. 44)
Unique sites:
Cd1 0.000 0.000 0.000 (multiplicity 2)
Te1 0.000 0.000 0.586 (multiplicity 2)
Te2 0.000 0.500 0.826 (multiplicity 2)
As1 0.000 0.500 0.247 (multiplicity 2)

Calculated values
For the formation energy from raw total energies, the calculation gives 9 kJ per mole of atoms. The energy above the most stable polymorph in this dataset comes out at 16.79 kJ per mole of atoms.


9.
First-principles (GGA-PBE) data for a relaxed structure of Pm3Ni7Ge4, as listed in the Alexandria database.

abc: 15.034 4.095 9.020
angles: 90.00 125.65 90.00
Space group C2/m (No. 12)
Unique sites:
Pm1 0.000 0.000 0.000 (multiplicity 2)
Pm2 0.183 0.500 0.688 (multiplicity 4)
Ni1 0.000 0.000 0.500 (multiplicity 2)
Ni2 0.002 0.500 0.282 (multiplicity 4)
Ni3 0.126 0.000 0.853 (multiplicity 4)
Ni4 0.178 0.500 0.313 (multiplicity 4)
Ge1 0.122 0.000 0.400 (multiplicity 4)
Ge2 0.169 0.500 0.025 (multiplicity 4)

Calculated values
The formation energy is -54.0 kJ/mol of atoms.


10.
First-principles (GGA-PBE) data for a relaxed structure of BeCdRe, as listed in the Alexandria database.

abc: 3.078 4.473 12.991
angles: 90.00 90.00 90.00
Space group Fmm2 (No. 42)
Unique sites:
Be1 0.000 0.000 0.000 (multiplicity 4)
Cd1 0.000 0.000 0.332 (multiplicity 4)
Re1 0.000 0.000 0.636 (multiplicity 4)

Calculated values
The energy above the most stable polymorph in this dataset comes out at 0.00 kJ per mole of atoms. The formation energy is 44.0 kJ/mol of atoms.


11.
First-principles (GGA-PBE) data for a relaxed structure of Mg3NiSe, as listed in the Alexandria database.

abc: 4.795 4.795 4.795
angles: 90.00 90.00 90.00
Space group Pm-3m (No. 221)
Unique sites:
Mg1 0.000 0.000 0.500 (multiplicity 3)
Ni1 0.000 0.000 0.000 (multiplicity 1)
Se1 0.500 0.500 0.500 (multiplicity 1)

Calculated values
For the formation energy from raw total energies, the calculation gives -2 kJ per mole of atoms. The energy above the most stable polymorph in this dataset comes out at 0.00 kJ per mole of atoms.


12.
First-principles (GGA-PBE) data for a relaxed structure of CuI, as listed in the Alexandria database.

abc: 5.522 4.322 5.543
angles: 90.00 93.12 90.00
Space group P2_1/m (No. 11)
Unique sites:
Cu1 0.080 0.250 0.080 (multiplicity 2)
I1 0.265 0.750 0.265 (multiplicity 2)

Calculated values
For the formation energy from raw total energies, the calculation gives -10 kJ per mole of atoms.


no.,E_tot (eV/f.u.)
1,-34.5
2,-71.3
3,-40.2
4,-110.5
5,-30.6
6,-15.5
7,-16.2
8,-11.5
9,-81.0
10,-15.7
11,-14.2
12,-5.8